Entry 1:
ZrWAu: optimized geometry, PBE.

Cell: 3.493 3.493 9.195 Å, 90.00 90.00 90.00°
Space group I4mm (No. 107)
Symmetry-distinct sites (fractional):
Zr1 0.000 0.000 0.000 x2
W1 0.000 0.000 0.331 x2
Au1 0.000 0.000 0.677 x2

* calculated formation energy: 0.6 eV/f.u.
* offset from the most stable computed form: 134.3 meV/atom
* energy: -8.065 eV/atom


Entry 2:
ZrW2Au: optimized geometry, PBE.

Cell: 9.697 2.827 5.260 Å, 90.00 96.72 90.00°
Space group Cm (No. 8)
Symmetry-distinct sites (fractional):
Zr1 0.000 0.000 0.000 x2
W1 0.015 0.500 0.496 x2
W2 0.261 0.500 0.293 x2
Au1 0.252 0.000 0.776 x2

* calculated formation energy: 1.1 eV/f.u.
* offset from the most stable computed form: 228.9 meV/atom
* energy: -9.152 eV/atom


Entry 3:
ZrW2Au: optimized geometry, PBE.

Cell: 3.457 3.457 5.989 Å, 90.00 90.00 90.00°
Space group P4/mmm (No. 123)
Symmetry-distinct sites (fractional):
Zr1 0.000 0.000 0.000 x1
W1 0.500 0.500 0.266 x2
Au1 0.000 0.000 0.500 x1

* calculated formation energy: 1.6 eV/f.u.
* offset from the most stable computed form: 345.6 meV/atom
* energy: -9.035 eV/atom


Entry 4:
ZrWAu2: optimized geometry, PBE.

Cell: 3.594 3.594 5.714 Å, 90.00 90.00 90.00°
Space group P4/mmm (No. 123)
Symmetry-distinct sites (fractional):
Zr1 0.000 0.000 0.000 x1
W1 0.000 0.000 0.500 x1
Au1 0.500 0.500 0.257 x2

* calculated formation energy: 0.5 eV/f.u.
* offset from the most stable computed form: 128.0 meV/atom
* energy: -6.881 eV/atom


Entry 5:
ZrWAu2: optimized geometry, PBE.

Cell: 3.946 3.946 20.190 Å, 90.00 90.00 90.00°
Space group I-42d (No. 122)
Symmetry-distinct sites (fractional):
Zr1 0.000 0.000 0.000 x4
W1 0.000 0.000 0.500 x4
Au1 0.242 0.250 0.625 x8

* calculated formation energy: 2.0 eV/f.u.
* offset from the most stable computed form: 493.2 meV/atom
* energy: -6.516 eV/atom


Entry 6:
ZrW2Au: optimized geometry, PBE.

Cell: 2.706 4.611 5.747 Å, 90.00 90.00 90.00°
Space group Pmmm (No. 47)
Symmetry-distinct sites (fractional):
Zr1 0.000 0.000 0.000 x1
W1 0.500 0.500 0.254 x2
Au1 0.000 0.000 0.500 x1

* calculated formation energy: 1.7 eV/f.u.
* offset from the most stable computed form: 374.5 meV/atom
* energy: -9.006 eV/atom


Entry 7:
ZrW2Au: optimized geometry, PBE.

Cell: 2.800 4.966 5.180 Å, 90.00 95.08 90.00°
Space group P2/m (No. 10)
Symmetry-distinct sites (fractional):
Zr1 0.000 0.000 0.000 x1
W1 0.298 0.500 0.762 x2
Au1 0.500 0.000 0.500 x1

* calculated formation energy: 1.0 eV/f.u.
* offset from the most stable computed form: 188.8 meV/atom
* energy: -9.192 eV/atom


Entry 8:
ZrWAu2: optimized geometry, PBE.

Cell: 5.879 8.393 2.923 Å, 90.00 90.00 90.00°
Space group Cmmm (No. 65)
Symmetry-distinct sites (fractional):
Zr1 0.000 0.000 0.000 x2
W1 0.000 0.500 0.000 x2
Au1 0.250 0.250 0.500 x4

* calculated formation energy: 0.1 eV/f.u.
* offset from the most stable computed form: 23.1 meV/atom
* energy: -6.986 eV/atom


Entry 9:
ZrW2Au: optimized geometry, PBE.

Cell: 2.792 4.221 6.091 Å, 90.00 90.00 90.00°
Space group Pmm2 (No. 25)
Symmetry-distinct sites (fractional):
Zr1 0.000 0.000 0.000 x1
W1 0.000 0.000 0.511 x1
W2 0.500 0.500 0.724 x1
Au1 0.500 0.500 0.251 x1

* calculated formation energy: 0.9 eV/f.u.
* offset from the most stable computed form: 163.6 meV/atom
* energy: -9.217 eV/atom


Entry 10:
ZrW2Au: optimized geometry, PBE.

Cell: 9.978 2.915 4.987 Å, 90.00 99.77 90.00°
Space group C2/m (No. 12)
Symmetry-distinct sites (fractional):
Zr1 0.000 0.000 0.000 x2
W1 0.240 0.000 0.745 x4
Au1 0.000 0.500 0.500 x2

* calculated formation energy: 1.0 eV/f.u.
* offset from the most stable computed form: 195.9 meV/atom
* energy: -9.185 eV/atom


Entry 11:
ZrW2Au: optimized geometry, PBE.

Cell: 2.791 2.791 9.153 Å, 90.00 90.00 90.00°
Space group P4/mmm (No. 123)
Symmetry-distinct sites (fractional):
Zr1 0.000 0.000 0.000 x1
W1 0.500 0.500 0.263 x2
Au1 0.000 0.000 0.500 x1

* calculated formation energy: 1.3 eV/f.u.
* offset from the most stable computed form: 268.0 meV/atom
* energy: -9.113 eV/atom


Entry 12:
ZrW2Au: optimized geometry, PBE.

Cell: 3.316 4.613 9.299 Å, 90.00 90.00 90.00°
Space group Cmm2 (No. 35)
Symmetry-distinct sites (fractional):
Zr1 0.000 0.000 0.000 x2
W1 0.000 0.000 0.515 x2
W2 0.000 0.500 0.742 x2
Au1 0.000 0.500 0.265 x2

* calculated formation energy: 0.3 eV/f.u.
* offset from the most stable computed form: 33.1 meV/atom
* energy: -9.348 eV/atom


Entry 13:
ZrW2Au: optimized geometry, PBE.

Cell: 6.569 6.569 6.569 Å, 90.00 90.00 90.00°
Space group Fm-3m (No. 225)
Symmetry-distinct sites (fractional):
Zr1 0.000 0.000 0.000 x4
W1 0.250 0.250 0.250 x8
Au1 0.000 0.000 0.500 x4

* calculated formation energy: 2.3 eV/f.u.
* offset from the most stable computed form: 521.7 meV/atom
* energy: -8.859 eV/atom


Entry 14:
ZrWAu2: optimized geometry, PBE.

Cell: 4.168 4.168 4.164 Å, 90.00 90.00 90.00°
Space group P4/mmm (No. 123)
Symmetry-distinct sites (fractional):
Zr1 0.000 0.000 0.000 x1
W1 0.500 0.500 0.000 x1
Au1 0.000 0.500 0.500 x2

* calculated formation energy: 0.0 eV/f.u.
* offset from the most stable computed form: 3.7 meV/atom
* energy: -7.005 eV/atom


Entry 15:
ZrWAu: optimized geometry, PBE.

Cell: 6.381 6.381 6.381 Å, 90.00 90.00 90.00°
Space group F-43m (No. 216)
Symmetry-distinct sites (fractional):
Zr1 0.000 0.000 0.000 x4
W1 0.000 0.000 0.500 x4
Au1 0.250 0.250 0.250 x4

* calculated formation energy: 2.2 eV/f.u.
* offset from the most stable computed form: 682.3 meV/atom
* energy: -7.517 eV/atom


Entry 16:
ZrWAu2: optimized geometry, PBE.

Cell: 6.672 6.672 6.672 Å, 90.00 90.00 90.00°
Space group Fm-3m (No. 225)
Symmetry-distinct sites (fractional):
Zr1 0.000 0.000 0.000 x4
W1 0.000 0.000 0.500 x4
Au1 0.250 0.250 0.250 x8

* calculated formation energy: 0.9 eV/f.u.
* offset from the most stable computed form: 210.3 meV/atom
* energy: -6.799 eV/atom


Entry 17:
ZrWAu3: optimized geometry, PBE.

Cell: 4.969 4.969 4.969 Å, 90.00 90.00 90.00°
Space group Pm-3m (No. 221)
Symmetry-distinct sites (fractional):
Zr1 0.000 0.000 0.000 x1
W1 0.500 0.500 0.500 x1
Au1 0.000 0.500 0.500 x3

* calculated formation energy: 5.4 eV/f.u.
* offset from the most stable computed form: 0.0 meV/atom
* energy: -5.178 eV/atom


Entry 18:
ZrWAu2: optimized geometry, PBE.

Cell: 2.905 4.197 5.932 Å, 90.00 90.19 90.00°
Space group P2/m (No. 10)
Symmetry-distinct sites (fractional):
Zr1 0.000 0.000 0.000 x1
W1 0.000 0.000 0.500 x1
Au1 0.500 0.500 0.263 x2

* calculated formation energy: 0.1 eV/f.u.
* offset from the most stable computed form: 19.6 meV/atom
* energy: -6.990 eV/atom


Entry 19:
ZrW2Au: optimized geometry, PBE.

Cell: 3.612 4.580 8.694 Å, 90.00 90.00 90.00°
Space group Imm2 (No. 44)
Symmetry-distinct sites (fractional):
Zr1 0.000 0.000 0.000 x2
W1 0.000 0.000 0.473 x2
W2 0.000 0.500 0.756 x2
Au1 0.000 0.500 0.235 x2

* calculated formation energy: 0.7 eV/f.u.
* offset from the most stable computed form: 132.4 meV/atom
* energy: -9.248 eV/atom


Entry 20:
ZrW2Au: optimized geometry, PBE.

Cell: 2.8543 2.8543 30.4028 Å, 90.00 90.00 120.00°
Space group R3m (No. 160, hexagonal axes)
Symmetry-distinct sites (fractional):
Zr1 0.0000 0.0000 0.0000 x3
W1 0.0000 0.0000 0.2454 x3
W2 0.0000 0.0000 0.4991 x3
Au1 0.0000 0.0000 0.7523 x3

* calculated formation energy: 1.3 eV/f.u.
* offset from the most stable computed form: 278.9 meV/atom
* energy: -9.102 eV/atom


Entry 21:
ZrWAu2: optimized geometry, PBE.

Cell: 6.669 6.669 6.669 Å, 90.00 90.00 90.00°
Space group F-43m (No. 216)
Symmetry-distinct sites (fractional):
Zr1 0.000 0.000 0.000 x4
W1 0.250 0.250 0.250 x4
Au1 0.000 0.000 0.500 x4
Au2 0.250 0.250 0.750 x4

* calculated formation energy: 1.3 eV/f.u.
* offset from the most stable computed form: 315.3 meV/atom
* energy: -6.694 eV/atom


Entry 22:
Zr3WAu: optimized geometry, PBE.

Cell: 5.058 5.058 5.058 Å, 90.00 90.00 90.00°
Space group Pm-3m (No. 221)
Symmetry-distinct sites (fractional):
Zr1 0.000 0.000 0.500 x3
W1 0.000 0.000 0.000 x1
Au1 0.500 0.500 0.500 x1

* calculated formation energy: 4.0 eV/f.u.
* offset from the most stable computed form: 0.0 meV/atom
* energy: -7.573 eV/atom


Entry 23:
Zr3WAu: optimized geometry, PBE.

Cell: 5.064 5.064 5.064 Å, 90.00 90.00 90.00°
Space group Pm-3m (No. 221)
Symmetry-distinct sites (fractional):
Zr1 0.000 0.000 0.500 x3
W1 0.500 0.500 0.500 x1
Au1 0.000 0.000 0.000 x1

* calculated formation energy: 6.5 eV/f.u.
* offset from the most stable computed form: 499.1 meV/atom
* energy: -7.073 eV/atom


Entry 24:
ZrWAu2: optimized geometry, PBE.

Cell: 9.603 3.035 5.145 Å, 90.00 101.60 90.00°
Space group Cm (No. 8)
Symmetry-distinct sites (fractional):
Zr1 0.000 0.000 0.000 x2
W1 0.241 0.500 0.269 x2
Au1 0.244 0.000 0.752 x2
Au2 0.487 0.000 0.487 x2

* calculated formation energy: 0.2 eV/f.u.
* offset from the most stable computed form: 48.1 meV/atom
* energy: -6.961 eV/atom


Entry 25:
ZrWAu2: optimized geometry, PBE.

Cell: 3.025 5.014 9.836 Å, 90.00 90.00 90.00°
Space group Imm2 (No. 44)
Symmetry-distinct sites (fractional):
Zr1 0.000 0.000 0.000 x2
W1 0.000 0.500 0.744 x2
Au1 0.000 0.000 0.479 x2
Au2 0.000 0.500 0.233 x2

* calculated formation energy: 0.5 eV/f.u.
* offset from the most stable computed form: 123.9 meV/atom
* energy: -6.885 eV/atom


Entry 26:
ZrWAu2: optimized geometry, PBE.

Cell: 5.869 5.896 8.376 Å, 90.00 90.00 90.00°
Space group Fmmm (No. 69)
Symmetry-distinct sites (fractional):
Zr1 0.000 0.000 0.000 x4
W1 0.000 0.000 0.500 x4
Au1 0.250 0.250 0.250 x8

* calculated formation energy: 0.1 eV/f.u.
* offset from the most stable computed form: 23.0 meV/atom
* energy: -6.986 eV/atom


Entry 27:
ZrWAu2: optimized geometry, PBE.

Cell: 9.947 2.918 5.118 Å, 90.00 99.87 90.00°
Space group C2/m (No. 12)
Symmetry-distinct sites (fractional):
Zr1 0.000 0.000 0.000 x2
W1 0.000 0.500 0.500 x2
Au1 0.243 0.000 0.741 x4

* calculated formation energy: 0.6 eV/f.u.
* offset from the most stable computed form: 140.0 meV/atom
* energy: -6.869 eV/atom


Entry 28:
ZrWAu: optimized geometry, PBE.

Cell: 3.805 4.263 13.544 Å, 90.00 90.00 90.00°
Space group Fmm2 (No. 42)
Symmetry-distinct sites (fractional):
Zr1 0.000 0.000 0.000 x4
W1 0.000 0.000 0.331 x4
Au1 0.000 0.000 0.673 x4

* calculated formation energy: 0.2 eV/f.u.
* offset from the most stable computed form: 1.6 meV/atom
* energy: -8.197 eV/atom


Entry 29:
ZrWAu: optimized geometry, PBE.

Cell: 4.8846 4.8846 2.7035 Å, 90.00 90.00 120.00°
Space group P-6m2 (No. 187)
Symmetry-distinct sites (fractional):
Zr1 0.0000 0.0000 0.0000 x1
W1 0.3333 0.6667 0.5000 x1
Au1 0.6667 0.3333 0.5000 x1

* calculated formation energy: 0.6 eV/f.u.
* offset from the most stable computed form: 142.8 meV/atom
* energy: -8.056 eV/atom


Entry 30:
ZrWAu: optimized geometry, PBE.

Cell: 2.8957 2.8957 7.6132 Å, 90.00 90.00 120.00°
Space group P3m1 (No. 156)
Symmetry-distinct sites (fractional):
Zr1 0.0000 0.0000 0.0000 x1
W1 0.6667 0.3333 0.6552 x1
Au1 0.3333 0.6667 0.3388 x1

* calculated formation energy: 0.8 eV/f.u.
* offset from the most stable computed form: 192.8 meV/atom
* energy: -8.006 eV/atom


Entry 31:
ZrW2Au: optimized geometry, PBE.

Cell: 2.837 4.320 5.947 Å, 90.00 98.66 90.00°
Space group Pm (No. 6)
Symmetry-distinct sites (fractional):
Zr1 0.000 0.000 0.000 x1
W1 0.164 0.000 0.527 x1
W2 0.530 0.500 0.731 x1
Au1 0.578 0.500 0.253 x1

* calculated formation energy: 0.5 eV/f.u.
* offset from the most stable computed form: 79.8 meV/atom
* energy: -9.301 eV/atom